This record from the Alexandria database describes crystalline GaOsS2 at its relaxed geometry. The functional is PBE.

Calculated values
* total moment: 0.00 μB per formula unit
* final energy: -5.573 eV/atom
* DOS(E_F): 2.529 states/eV/cell
* uncorrected formation energy: 54 meV/atom
* SG: No. 122

```
data_GaOsS2
_chemical_formula_sum 'Ga2 Os2 S4'
_space_group_name_H-M_alt 'P 1'
_space_group_IT_number 1
_space_group_name_Hall 'P 1'
_cell_length_a 6.6291
_cell_length_b 6.6291
_cell_length_c 6.6291
_cell_angle_alpha 131.15
_cell_angle_beta 131.15
_cell_angle_gamma 71.58
loop_
_atom_site_label
_atom_site_fract_x
_atom_site_fract_y
_atom_site_fract_z
Ga1 0.0000 0.0000 0.0000
Ga2 0.7500 0.2500 0.5000
Os1 0.2500 0.7500 0.5000
Os2 0.5000 0.5000 0.0000
S1 0.1563 0.6250 0.0313
S2 0.3750 0.4063 0.5313
S3 0.5937 0.1250 0.9687
S4 0.8750 0.8437 0.4687
```